Entry 1:
## NaClF2 (SCAN)

Data for a PBEsol-optimized structure of NaClF2.

Lattice parameters (Å, degrees): 3.694 3.694 6.091 72.35 72.35 60.00
Positions (direct):
Na  0.500  0.500  0.500
Cl  0.000  0.000  0.000
F  0.890  0.890  0.329
F  0.110  0.110  0.671

Properties
Formation energy without anion corrections ... -1.7061 eV per atom
Volume ... 67 Å³/cell
Total magnetic moment ... 0.0001 μB/atom

Entry 2:
## HgPb5 (SCAN)

Data for a PBEsol-optimized structure of HgPb5.

Lattice parameters (Å, degrees): 4.923 4.682 7.813 90.00 108.36 90.00
Positions (direct):
Hg  0.500  0.000  0.000
Pb  0.338  0.500  0.675
Pb  0.166  0.000  0.332
Pb  0.000  0.500  0.000
Pb  0.834  0.000  0.668
Pb  0.662  0.500  0.325

Properties
Volume ... 171 Å³/cell
Total magnetic moment ... 0.0000 μB/atom
Formation energy ... 0.01 eV/atom
Polymorph energy (0 for the lowest one) ... 0 kJ/mol of formula units

Entry 3:
## MnAlCl2 (SCAN)

Data for a PBEsol-optimized structure of MnAlCl2.

Lattice parameters (Å, degrees): 3.591 3.897 6.851 106.52 105.19 90.00
Positions (direct):
Mn  0.500  0.000  0.000
Al  0.000  0.500  0.000
Cl  0.857  0.857  0.714
Cl  0.143  0.143  0.286

Properties
Formation energy without anion corrections ... -0.6008 eV per atom
Volume ... 88 Å³/cell
Total magnetic moment ... 1.0120 μB/atom
Polymorph energy (0 for the lowest one) ... 34 kJ/mol of formula units

Entry 4:
## PSeBr2 (SCAN)

Data for a PBEsol-optimized structure of PSeBr2.

Lattice parameters (Å, degrees): 3.494 3.494 8.994 78.80 78.80 60.00
Positions (direct):
Br  0.989  0.989  0.032
Br  0.773  0.773  0.680
P  0.508  0.508  0.475
Se  0.229  0.229  0.313

Properties
Formation energy without anion corrections ... 0.1249 eV per atom
Volume ... 93 Å³/cell
Total magnetic moment ... 0.0001 μB/atom
Polymorph energy (0 for the lowest one) ... 0 kJ/mol of formula units

Entry 5:
## CaYRe2 (SCAN)

Data for a PBEsol-optimized structure of CaYRe2.

Lattice parameters (Å, degrees): 2.709 5.645 5.656 119.93 90.00 90.00
Positions (direct):
Y  0.500  0.000  0.000
Re  0.000  0.500  0.500
Re  0.000  0.000  0.500
Ca  0.500  0.500  0.000

Properties
Volume ... 75 Å³/cell
Total magnetic moment ... 0.0669 μB/atom
Formation energy ... 0.74 eV/atom
Polymorph energy (0 for the lowest one) ... 41 kJ/mol of formula units

Entry 6:
## CsKTl2 (SCAN)

Data for a PBEsol-optimized structure of CsKTl2.

Lattice parameters (Å, degrees): 6.069 6.069 6.069 60.00 60.00 60.00
Positions (direct):
Cs  0.500  0.500  0.500
Tl  0.250  0.250  0.250
Tl  0.750  0.750  0.750
K  0.000  0.000  0.000

Properties
Volume ... 158 Å³/cell
Total magnetic moment ... 0.0000 μB/atom
Formation energy ... -0.01 eV/atom

Entry 7:
## LiTa2Al (SCAN)

Data for a PBEsol-optimized structure of LiTa2Al.

Lattice parameters (Å, degrees): 2.828 2.828 10.038 81.90 81.90 60.00
Positions (direct):
Al  0.500  0.500  0.500
Li  0.000  0.000  0.000
Ta  0.246  0.246  0.262
Ta  0.754  0.754  0.738

Properties
Volume ... 69 Å³/cell
Total magnetic moment ... 0.0000 μB/atom
Formation energy ... 0.18 eV/atom
Polymorph energy (0 for the lowest one) ... 28 kJ/mol of formula units

Entry 8:
## Sr2TaNb (SCAN)

Data for a PBEsol-optimized structure of Sr2TaNb.

Lattice parameters (Å, degrees): 5.381 5.381 5.381 60.00 60.00 60.00
Positions (direct):
Sr  0.250  0.250  0.250
Sr  0.750  0.750  0.750
Nb  0.000  0.000  0.000
Ta  0.500  0.500  0.500

Properties
Volume ... 110 Å³/cell
Total magnetic moment ... 1.0869 μB/atom
Formation energy ... 1.56 eV/atom

Entry 9:
## TaAl2Rh (SCAN)

Data for a PBEsol-optimized structure of TaAl2Rh.

Lattice parameters (Å, degrees): 2.909 2.909 6.945 90.00 90.00 90.00
Positions (direct):
Rh  0.500  0.500  0.000
Al  0.000  0.000  0.782
Al  0.000  0.000  0.218
Ta  0.500  0.500  0.500

Properties
Volume ... 59 Å³/cell
Total magnetic moment ... 0.0007 μB/atom
Formation energy ... -0.81 eV/atom

Entry 10:
## TiBeS2 (SCAN)

Data for a PBEsol-optimized structure of TiBeS2.

Lattice parameters (Å, degrees): 5.415 5.999 5.415 63.17 90.00 116.83
Positions (direct):
Be  0.250  0.500  0.250
Be  0.500  0.000  0.500
S  0.576  0.750  0.375
S  0.174  0.750  0.875
S  0.875  0.250  0.576
S  0.375  0.250  0.174
Ti  0.750  0.500  0.750
Ti  0.000  0.000  0.000

Properties
Formation energy without anion corrections ... -1.0635 eV per atom
Volume ... 135 Å³/cell
Total magnetic moment ... 0.4960 μB/atom

Entry 11:
## MnAl2Pb (SCAN)

Data for a PBEsol-optimized structure of MnAl2Pb.

Lattice parameters (Å, degrees): 4.159 4.018 5.189 112.78 113.62 90.00
Positions (direct):
Pb  0.253  0.753  0.506
Mn  0.503  0.503  0.007
Al  0.999  0.999  0.998
Al  0.745  0.245  0.489

Properties
Volume ... 72 Å³/cell
Total magnetic moment ... 0.9365 μB/atom
Formation energy ... 0.12 eV/atom

Entry 12:
## CrTc2Br (SCAN)

Data for a PBEsol-optimized structure of CrTc2Br.

Lattice parameters (Å, degrees): 4.298 4.298 4.298 60.00 60.00 60.00
Positions (direct):
Br  0.000  0.000  0.000
Cr  0.500  0.500  0.500
Tc  0.250  0.250  0.250
Tc  0.750  0.750  0.750

Properties
Formation energy without anion corrections ... 0.8363 eV per atom
Volume ... 56 Å³/cell
Total magnetic moment ... 0.5356 μB/atom
Polymorph energy (0 for the lowest one) ... 11 kJ/mol of formula units

Number 1: energy -6.524 eV per atom. Number 2: energy -74.502 eV per atom. Number 3: energy -11.091 eV per atom. Number 4: energy -17.224 eV per atom. Number 5: energy -44.183 eV per atom. Number 6: energy -47.719 eV per atom. Number 7: energy -35.647 eV per atom. Number 8: energy -34.509 eV per atom. Number 9: energy -29.772 eV per atom. Number 10: energy -10.973 eV per atom. Number 11: energy -27.263 eV per atom. Number 12: energy -26.155 eV per atom.